No. 1
11
Lattice="-2.123 -1.681 1.175 -0.556 -4.954 -8.096 5.978 -2.757 6.859" Properties=species:S:1:pos:R:3 comment="Li5Cd3Ag3, relaxed, DFT PBE-GGA" vol_a3_per_atom=21.01 rho_g_cm3=5.0 formation_enthalpy_0k_ev_per_atom=-0.04 e_tot_ev_per_cell=-21.28 dos_at_fermi_per_ev_atom=0.347 pbc="T T T"
Cd -1.518 -4.908 -6.060
Ag 2.351 -3.344 -0.536
Li 2.738 -4.330 2.461
Ag 3.386 -1.562 3.885
Li -1.249 -2.505 -2.133
Cd 3.847 -3.105 6.220
Li 2.538 -5.961 -0.234
Cd -0.092 -2.220 0.366
Li 0.560 -5.062 -2.523
Ag -0.315 -2.806 -4.585
Li 0.947 -1.767 2.892



No. 2
14
Lattice="4.035 0.000 0.000 0.000 7.379 0.000 0.000 0.000 11.998" Properties=species:S:1:pos:R:3 comment="Sr2ZrS4, relaxed, DFT PBE-GGA" vol_a3_per_atom=25.51 rho_g_cm3=3.7 raw_formation_energy_ev_per_atom=-1.875 e_tot_ev_per_cell=-83.09 pbc="T T T"
S 2.017 5.736 6.588
Sr 2.017 3.011 8.180
Sr 2.017 6.701 9.816
Zr 0.000 0.000 5.999
S 2.017 2.047 11.408
S 0.000 6.479 3.621
S 0.000 2.789 2.378
S 2.017 1.642 5.409
Sr 2.017 0.678 2.182
Zr 0.000 3.689 0.000
S 0.000 4.589 9.620
S 2.017 5.332 0.589
S 0.000 0.900 8.376
Sr 2.017 4.368 3.817



No. 3
8
Lattice="6.608 0.000 0.000 0.000 6.608 0.000 3.304 3.304 2.599" Properties=species:S:1:pos:R:3 comment="AlFe2Ge, relaxed, DFT PBE-GGA" vol_a3_per_atom=14.19 rho_g_cm3=6.2 formation_enthalpy_0k_ev_per_atom=0.32 e_tot_ev_per_cell=-48.00 dos_at_fermi_per_ev_atom=1.146 pbc="T T T"
Fe 1.582 4.956 0.650
Fe 8.261 8.331 1.949
Fe 5.027 1.652 0.650
Al 3.304 6.608 1.300
Al 3.304 3.304 0.000
Fe 4.956 4.886 1.949
Ge 0.000 0.000 0.000
Ge 6.608 3.304 1.300



No. 4
17
Lattice="-6.319 -2.659 -2.262 0.182 -0.039 7.217 0.756 6.770 -2.390" Properties=species:S:1:pos:R:3 comment="DyP4Pd12, relaxed, DFT PBE-GGA" vol_a3_per_atom=17.04 rho_g_cm3=9.0 formation_enthalpy_0k_ev_per_atom=-0.46 e_tot_ev_per_cell=-96.39 dos_at_fermi_per_ev_atom=0.195 pbc="T T T"
P 0.091 -0.019 3.609
Pd -1.452 4.727 -1.555
Pd -0.320 5.182 2.426
P 0.378 3.385 -1.195
Dy 0.000 0.000 0.000
Pd -2.899 0.914 -0.712
Pd -3.492 3.830 0.091
P -3.160 -1.329 -1.131
Pd -5.061 -1.110 0.139
Pd -2.482 3.158 3.277
Pd -4.748 2.281 -2.258
Pd -0.631 2.945 0.822
Pd -3.929 -0.654 4.121
Pd -0.633 1.792 4.823
P -2.691 2.036 1.283
Pd -1.889 0.242 2.474
Pd -4.750 1.127 1.744



No. 5
4
Lattice="-0.270 -3.132 2.279 3.108 1.188 2.001 -3.704 2.910 0.252" Properties=species:S:1:pos:R:3 comment="ReTcIrRu, relaxed, DFT PBE-GGA" vol_a3_per_atom=14.45 rho_g_cm3=16.6 formation_enthalpy_0k_ev_per_atom=-0.06 e_tot_ev_per_cell=-41.21 dos_at_fermi_per_ev_atom=0.900 pbc="T T T"
Tc 0.873 -0.507 2.714
Ru -0.549 0.463 0.572
Ir -0.135 2.028 2.771
Re -1.826 -0.133 2.909



No. 6
4
Lattice="3.585 0.000 0.000 1.793 3.105 0.000 1.793 1.035 10.932" Properties=species:S:1:pos:R:3 comment="SmThPb2, relaxed, DFT PBE-GGA" vol_a3_per_atom=30.43 rho_g_cm3=10.9 formation_enthalpy_0k_ev_per_atom=-0.26 e_tot_ev_per_cell=-20.60 dos_at_fermi_per_ev_atom=0.786 pbc="T T T"
Pb 5.378 3.105 8.241
Sm 0.000 0.000 0.000
Th 3.585 2.070 5.466
Pb 1.793 1.035 2.691



No. 7
12
Lattice="-3.323 4.812 1.209 -9.962 -1.758 -5.630 -3.951 -0.390 5.441" Properties=species:S:1:pos:R:3 comment="PrSm7Tm4, relaxed, DFT PBE-GGA" vol_a3_per_atom=33.61 rho_g_cm3=7.7 formation_enthalpy_0k_ev_per_atom=0.26 e_tot_ev_per_cell=-52.59 dos_at_fermi_per_ev_atom=1.466 pbc="T T T"
Sm -13.763 1.990 -1.503
Tm -10.888 0.200 -1.225
Sm -9.239 0.593 1.744
Sm -7.996 2.071 -0.723
Sm -1.661 2.406 0.605
Sm -3.472 0.673 2.524
Tm -12.526 2.087 1.510
Tm -4.709 0.576 -0.489
Sm -7.716 -0.977 -2.567
Pr 0.000 0.000 0.000
Sm -9.519 3.641 3.588
Tm -6.347 2.463 2.245



No. 8
8
Lattice="8.036 0.000 0.000 0.000 8.036 0.000 4.018 4.018 3.063" Properties=species:S:1:pos:R:3 comment="La2TiCo, relaxed, DFT PBE-GGA" vol_a3_per_atom=24.72 rho_g_cm3=6.5 formation_enthalpy_0k_ev_per_atom=0.39 e_tot_ev_per_cell=-46.56 dos_at_fermi_per_ev_atom=1.202 pbc="T T T"
Co 0.000 0.000 0.000
La 6.027 5.559 2.297
La 10.044 10.512 2.297
Ti 4.018 4.018 0.000
Ti 4.018 8.036 1.531
La 6.494 2.009 0.766
La 1.541 6.027 0.766
Co 8.036 4.018 1.531



No. 9
5
Lattice="6.354 0.000 0.000 0.000 6.354 0.000 0.000 0.000 3.839" Properties=species:S:1:pos:R:3 comment="Cs2PtClO, relaxed, DFT PBE-GGA" vol_a3_per_atom=31.00 rho_g_cm3=5.5 raw_formation_energy_ev_per_atom=-1.175 e_tot_ev_per_cell=-20.43 dos_at_fermi_per_ev_atom=0.162 pbc="T T T"
Cl 3.177 3.177 1.920
Cs 3.177 0.000 0.000
Pt 0.000 0.000 1.920
Cs 0.000 3.177 0.000
O 0.000 0.000 0.000



No. 10
8
Lattice="-1.464 -2.139 3.706 4.035 0.614 1.948 -0.887 5.244 5.436" Properties=species:S:1:pos:R:3 comment="NbClF2, relaxed, DFT PBE-GGA" vol_a3_per_atom=17.64 rho_g_cm3=3.9 raw_formation_energy_ev_per_atom=-1.561 e_tot_ev_per_cell=-43.81 dos_at_fermi_per_ev_atom=0.541 pbc="T T T"
Nb 0.000 0.000 0.000
Cl 2.217 2.548 5.105
Nb -0.532 1.171 5.985
F -1.481 2.132 7.545
Cl 1.286 -0.763 2.827
F -0.671 3.214 5.729
F -0.984 -0.463 4.810
F 1.005 -0.198 5.855



No. 11
5
Lattice="4.163 0.000 0.000 0.000 4.163 0.000 0.000 0.000 5.503" Properties=species:S:1:pos:R:3 comment="NaCrIN2, relaxed, DFT PBE-GGA" vol_a3_per_atom=19.07 rho_g_cm3=4.0 raw_formation_energy_ev_per_atom=2.609 e_tot_ev_per_cell=-16.10 dos_at_fermi_per_ev_atom=1.694 pbc="T T T"
N 0.000 2.081 0.000
Na 0.000 0.000 0.000
N 2.081 0.000 0.000
Cr 2.081 2.081 2.751
I 0.000 0.000 2.751



No. 12
8
Lattice="-0.403 -3.263 1.744 1.390 -1.759 -2.970 7.601 -1.829 2.308" Properties=species:S:1:pos:R:3 comment="RbC2O, relaxed, DFT PBE-GGA" vol_a3_per_atom=13.35 rho_g_cm3=3.9 raw_formation_energy_ev_per_atom=1.876 e_tot_ev_per_cell=-33.74 dos_at_fermi_per_ev_atom=0.478 pbc="T T T"
C 1.923 -1.901 0.860
Rb 3.845 -3.801 1.719
Rb 0.000 0.000 0.000
O 0.493 -2.511 -0.613
C 2.617 -2.780 -0.625
C 6.216 -5.326 1.401
O 4.742 -3.049 -0.638
C 6.418 -3.694 0.529



No. 13
18
Lattice="-4.676 -9.496 -6.369 3.889 -1.178 -9.733 4.694 -9.281 1.756" Properties=species:S:1:pos:R:3 comment="TlBi2I6, relaxed, DFT PBE-GGA" vol_a3_per_atom=62.52 rho_g_cm3=4.1 raw_formation_energy_ev_per_atom=-0.375 e_tot_ev_per_cell=-45.61 dos_at_fermi_per_ev_atom=0.093 pbc="T T T"
I 2.787 -11.375 -8.578
I -1.251 -12.989 -9.434
I -0.581 -5.534 -3.040
I 2.675 -7.675 -1.032
I 5.158 -6.966 -4.912
I 6.902 -10.445 -7.027
Bi 2.209 -6.443 -3.598
Bi -0.232 -10.158 -8.248
I 3.996 -11.820 -4.048
I -2.995 -9.510 -7.319
Bi 1.698 -13.511 -10.748
I 4.488 -14.420 -11.306
Tl 0.438 -8.865 -13.709
I 1.120 -8.580 -5.768
I 1.232 -12.279 -13.314
Tl 3.469 -11.090 -0.637
I -0.089 -8.134 -10.298
Bi 4.139 -9.796 -6.098



No. 14
8
Lattice="6.667 0.000 0.000 0.000 6.667 0.000 3.334 3.334 6.436" Properties=species:S:1:pos:R:3 comment="TlBi2Rh, relaxed, DFT PBE-GGA" vol_a3_per_atom=35.76 rho_g_cm3=8.4 formation_enthalpy_0k_ev_per_atom=0.22 e_tot_ev_per_cell=-33.19 dos_at_fermi_per_ev_atom=0.565 pbc="T T T"
Rh 3.334 6.667 3.218
Rh 3.334 3.334 0.000
Bi 4.549 1.667 1.609
Bi 8.334 7.883 4.827
Tl 0.000 0.000 0.000
Bi 5.000 5.451 4.827
Tl 6.667 3.334 3.218
Bi 2.118 5.000 1.609



No. 15
13
Lattice="-1.225 3.163 4.099 2.667 -2.680 6.319 5.419 4.794 1.373" Properties=species:S:1:pos:R:3 comment="Ti7Nb5Bi, relaxed, DFT PBE-GGA" vol_a3_per_atom=19.25 rho_g_cm3=6.7 formation_enthalpy_0k_ev_per_atom=0.29 e_tot_ev_per_cell=-105.75 dos_at_fermi_per_ev_atom=1.688 pbc="T T T"
Nb 6.738 3.462 4.543
Ti 2.185 2.779 5.415
Nb 4.759 1.293 9.037
Ti 1.422 1.352 2.835
Nb 5.364 -0.270 7.012
Ti 3.623 0.009 4.530
Ti 4.590 2.508 6.343
Bi -0.875 3.124 4.234
Nb 6.132 5.024 6.568
Nb 5.292 3.941 8.900
Ti 4.226 4.818 4.451
Ti 2.621 0.460 7.335
Ti 4.398 2.112 3.137



No. 16
5
Lattice="-2.056 -1.532 3.050 3.117 -2.294 0.948 2.463 2.082 5.309" Properties=species:S:1:pos:R:3 comment="Hf2ZrBe2, relaxed, DFT PBE-GGA" vol_a3_per_atom=17.57 rho_g_cm3=8.8 formation_enthalpy_0k_ev_per_atom=0.13 e_tot_ev_per_cell=-35.28 dos_at_fermi_per_ev_atom=1.216 pbc="T T T"
Hf 3.055 -1.062 4.128
Hf 0.469 -0.682 5.179
Be 2.642 -0.558 6.706
Be 0.882 -1.186 2.601
Zr 0.000 0.000 0.000



No. 17
12
Lattice="-1.167 -0.157 4.382 -3.479 -8.519 -1.232 10.046 -1.833 0.262" Properties=species:S:1:pos:R:3 comment="Pr2Sn3HgTe6, relaxed, DFT PBE-GGA" vol_a3_per_atom=34.16 rho_g_cm3=6.5 raw_formation_energy_ev_per_atom=-0.646 e_tot_ev_per_cell=-48.47 dos_at_fermi_per_ev_atom=0.170 pbc="T T T"
Te 2.443 -1.556 2.945
Te 0.497 -5.717 2.277
Te 6.173 -8.210 3.700
Sn -2.323 -4.338 1.575
Hg -0.584 -0.078 2.191
Te -0.774 -2.299 -0.288
Pr 1.962 -3.495 0.398
Pr 3.438 -7.013 3.014
Sn 0.120 -7.779 -0.246
Te 4.902 -4.792 1.135
Sn 5.279 -2.729 3.658
Te 2.956 -8.952 0.467



No. 18
5
Lattice="-1.964 2.434 2.504 -3.490 -1.456 -1.322 0.111 -2.931 2.935" Properties=species:S:1:pos:R:3 comment="BeSnNO2, relaxed, DFT PBE-GGA" vol_a3_per_atom=13.32 rho_g_cm3=4.3 raw_formation_energy_ev_per_atom=0.392 e_tot_ev_per_cell=-24.01 dos_at_fermi_per_ev_atom=0.457 pbc="T T T"
N 0.055 -1.465 1.468
Be -2.672 -0.977 2.059
O -0.982 1.217 1.252
O -1.745 -0.728 -0.661
Sn 0.000 0.000 0.000



No. 19
8
Lattice="5.171 0.000 0.000 0.000 6.550 -2.249 0.000 -0.378 9.252" Properties=species:S:1:pos:R:3 comment="CsCdPb2, relaxed, DFT PBE-GGA" vol_a3_per_atom=38.62 rho_g_cm3=7.1 formation_enthalpy_0k_ev_per_atom=-0.08 e_tot_ev_per_cell=-19.05 dos_at_fermi_per_ev_atom=0.400 pbc="T T T"
Cs 1.293 1.873 0.163
Pb 3.878 1.587 3.291
Pb 1.293 4.585 3.712
Pb 1.293 5.673 0.574
Pb 3.878 0.500 6.429
Cs 3.878 4.299 6.840
Cd 3.878 4.675 1.973
Cd 1.293 1.497 5.030



No. 20
5
Lattice="4.471 0.000 0.000 0.000 4.471 0.000 0.000 0.000 4.471" Properties=species:S:1:pos:R:3 comment="Zr3WN, relaxed, DFT PBE-GGA" vol_a3_per_atom=17.87 rho_g_cm3=8.8 raw_formation_energy_ev_per_atom=-0.524 e_tot_ev_per_cell=-49.54 dos_at_fermi_per_ev_atom=0.480 pbc="T T T"
N 0.000 0.000 0.000
W 2.235 2.235 2.235
Zr 2.235 0.000 0.000
Zr 0.000 0.000 2.235
Zr 0.000 2.235 0.000



No. 21
12
Lattice="-3.246 1.404 -1.159 0.273 -3.583 -5.108 -1.969 -6.061 4.147" Properties=species:S:1:pos:R:3 comment="DyNi4Ge, relaxed, DFT PBE-GGA" vol_a3_per_atom=14.28 rho_g_cm3=9.1 formation_enthalpy_0k_ev_per_atom=-0.36 e_tot_ev_per_cell=-68.95 dos_at_fermi_per_ev_atom=0.528 pbc="T T T"
Ni -1.486 -1.089 -3.133
Dy -4.282 -6.257 -1.566
Ge -1.506 -5.240 -2.131
Ge -3.436 -2.999 0.011
Ni -2.605 -4.523 -4.161
Ni -0.366 -3.539 -3.264
Ni -1.623 0.702 -0.579
Dy -0.660 -1.982 -0.554
Ni -2.337 -3.716 2.042
Ni -2.232 -5.095 0.077
Ni -4.576 -4.701 1.144
Ni -2.710 -3.145 -2.197



No. 22
4
Lattice="-3.468 -1.495 0.574 0.641 -2.549 -2.768 2.286 -3.761 4.010" Properties=species:S:1:pos:R:3 comment="TcNiSe2, relaxed, DFT PBE-GGA" vol_a3_per_atom=21.71 rho_g_cm3=6.0 raw_formation_energy_ev_per_atom=-0.277 e_tot_ev_per_cell=-24.22 dos_at_fermi_per_ev_atom=0.561 pbc="T T T"
Se -0.634 -3.116 0.760
Tc 1.668 -3.306 1.468
Se 2.558 -5.519 1.080
Ni 0.256 -5.330 0.372



No. 23
4
Lattice="-5.856 0.027 -1.331 -5.602 -0.234 2.149 -1.540 5.092 0.493" Properties=species:S:1:pos:R:3 comment="CaZr2Te, relaxed, DFT PBE-GGA" vol_a3_per_atom=25.79 rho_g_cm3=5.6 raw_formation_energy_ev_per_atom=-0.199 e_tot_ev_per_cell=-23.03 dos_at_fermi_per_ev_atom=1.144 pbc="T T T"
Zr -11.203 -0.050 0.811
Ca -9.749 3.663 0.983
Te -3.250 1.221 0.328
Zr -6.754 2.286 0.662



No. 24
4
Lattice="3.103 0.000 0.000 0.000 4.642 0.000 0.000 0.000 4.590" Properties=species:S:1:pos:R:3 comment="YMnOs2, relaxed, DFT PBE-GGA" vol_a3_per_atom=16.53 rho_g_cm3=13.2 formation_enthalpy_0k_ev_per_atom=0.35 e_tot_ev_per_cell=-36.70 dos_at_fermi_per_ev_atom=1.008 pbc="T T T"
Y 1.551 0.000 2.295
Os 0.000 0.000 0.000
Os 1.551 2.321 0.000
Mn 0.000 2.321 2.295